1.
This record from Alexandria via LeMat-Bulk describes a geometry-optimized CoNiPb2 structure. The functional is PBE-GGA.

The symmetry is Imm2 (44). The value obtained for the total energy is -37.5 eV/cell. For the formation energy from the elements, the calculation gives 0.394 eV/atom.

Unit cell a=3.4267 b=3.8623 c=13.1530 alpha=90.00 beta=90.00 gamma=90.00
Closest atoms and distances in Å follow each position.
Fractional coordinates of all 8 atoms:
Co  0.0000  0.0000  0.0000  2 Ni 2.37
Co  0.5000  0.5000  0.5000  2 Ni 2.37
Ni  0.0000  0.5000  0.8952  2 Co 2.37
Ni  0.5000  0.0000  0.3952  2 Co 2.37
Pb  0.0000  0.0000  0.5754  4 Co 2.77, 2 Ni 2.92
Pb  0.0000  0.5000  0.3182  4 Ni 2.77, 2 Co 2.94
Pb  0.5000  0.0000  0.8182  4 Ni 2.77, 2 Co 2.94
Pb  0.5000  0.5000  0.0754  4 Co 2.77, 2 Ni 2.92


2.
This record from Alexandria via LeMat-Bulk describes a geometry-optimized CoNiPb2 structure. The functional is PBE-GGA.

The symmetry is Cmmm (65). The value obtained for the total energy is -36.9 eV/cell. For the formation energy from the elements, the calculation gives 0.458 eV/atom.

Unit cell a=4.4427 b=5.0520 c=6.6750 alpha=90.00 beta=90.00 gamma=90.00
Closest atoms and distances in Å follow each position.
Fractional coordinates of all 8 atoms:
Co  0.0000  0.0000  0.0000  8 Pb 2.78-3.03
Co  0.5000  0.5000  0.0000  8 Pb 2.78-3.03
Ni  0.0000  0.0000  0.5000  8 Pb 2.78-3.03
Ni  0.5000  0.5000  0.5000  8 Pb 2.78-3.03
Pb  0.0000  0.5000  0.2504  4 Ni 2.78-3.03, 4 Co 2.78-3.03
Pb  0.0000  0.5000  0.7496  4 Ni 2.78-3.03, 4 Co 2.78-3.03
Pb  0.5000  0.0000  0.2504  4 Ni 2.78-3.03, 4 Co 2.78-3.03
Pb  0.5000  0.0000  0.7496  4 Ni 2.78-3.03, 4 Co 2.78-3.03


3.
This record from Alexandria via LeMat-Bulk describes a geometry-optimized PmCoNiPb structure. The functional is PBE-GGA.

The symmetry is F-43m (216). The value obtained for the total energy is -86.1 eV/cell. For the formation energy from the elements, the calculation gives -0.044 eV/atom.

Unit cell a=6.6976 b=6.6976 c=6.6976 alpha=90.00 beta=90.00 gamma=90.00
Closest atoms and distances in Å follow each position.
Fractional coordinates of all 16 atoms:
Pm  0.0000  0.0000  0.0000  4 Ni 2.90, 4 Co 2.90
Pm  0.0000  0.5000  0.5000  4 Ni 2.90, 4 Co 2.90
Pm  0.5000  0.0000  0.5000  4 Ni 2.90, 4 Co 2.90
Pm  0.5000  0.5000  0.0000  4 Ni 2.90, 4 Co 2.90
Co  0.2500  0.2500  0.2500  4 Pb 2.90, 4 Pm 2.90
Co  0.2500  0.7500  0.7500  4 Pb 2.90, 4 Pm 2.90
Co  0.7500  0.2500  0.7500  4 Pb 2.90, 4 Pm 2.90
Co  0.7500  0.7500  0.2500  4 Pb 2.90, 4 Pm 2.90
Ni  0.2500  0.2500  0.7500  4 Pb 2.90, 4 Pm 2.90
Ni  0.2500  0.7500  0.2500  4 Pb 2.90, 4 Pm 2.90
Ni  0.7500  0.2500  0.2500  4 Pb 2.90, 4 Pm 2.90
Ni  0.7500  0.7500  0.7500  4 Pm 2.90, 4 Pb 2.90
Pb  0.0000  0.0000  0.5000  4 Co 2.90, 4 Ni 2.90
Pb  0.0000  0.5000  0.0000  4 Co 2.90, 4 Ni 2.90
Pb  0.5000  0.0000  0.0000  4 Co 2.90, 4 Ni 2.90
Pb  0.5000  0.5000  0.5000  4 Co 2.90, 4 Ni 2.90


4.
This record from Alexandria via LeMat-Bulk describes a geometry-optimized ScCoNiPb structure. The functional is PBE-GGA.

The symmetry is F-43m (216). The value obtained for the total energy is -94.3 eV/cell. For the formation energy from the elements, the calculation gives -0.163 eV/atom.

Unit cell a=6.3580 b=6.3580 c=6.3580 alpha=90.00 beta=90.00 gamma=90.00
Closest atoms and distances in Å follow each position.
Fractional coordinates of all 16 atoms:
Sc  0.0000  0.0000  0.0000  4 Co 2.75, 4 Ni 2.75
Sc  0.0000  0.5000  0.5000  4 Co 2.75, 4 Ni 2.75
Sc  0.5000  0.0000  0.5000  4 Co 2.75, 4 Ni 2.75
Sc  0.5000  0.5000  0.0000  4 Co 2.75, 4 Ni 2.75
Co  0.2500  0.2500  0.7500  4 Pb 2.75, 4 Sc 2.75
Co  0.2500  0.7500  0.2500  4 Pb 2.75, 4 Sc 2.75
Co  0.7500  0.2500  0.2500  4 Pb 2.75, 4 Sc 2.75
Co  0.7500  0.7500  0.7500  4 Pb 2.75, 4 Sc 2.75
Ni  0.2500  0.2500  0.2500  4 Pb 2.75, 4 Sc 2.75
Ni  0.2500  0.7500  0.7500  4 Pb 2.75, 4 Sc 2.75
Ni  0.7500  0.2500  0.7500  4 Pb 2.75, 4 Sc 2.75
Ni  0.7500  0.7500  0.2500  4 Pb 2.75, 4 Sc 2.75
Pb  0.0000  0.0000  0.5000  4 Co 2.75, 4 Ni 2.75
Pb  0.0000  0.5000  0.0000  4 Co 2.75, 4 Ni 2.75
Pb  0.5000  0.0000  0.0000  4 Co 2.75, 4 Ni 2.75
Pb  0.5000  0.5000  0.5000  4 Co 2.75, 4 Ni 2.75


5.
This record from Alexandria via LeMat-Bulk describes a geometry-optimized SrCo2NiPb structure. The functional is PBE-GGA.

The symmetry is P4/mmm (123). The value obtained for the total energy is -21.2 eV/cell. For the formation energy from the elements, the calculation gives 0.838 eV/atom.

Unit cell a=4.9521 b=4.9521 c=4.9022 alpha=90.00 beta=90.00 gamma=90.00
Closest atoms and distances in Å follow each position.
Fractional coordinates of all 5 atoms:
Sr  0.0000  0.0000  0.0000  8 Co 3.48, 4 Ni 3.50
Co  0.0000  0.5000  0.5000  2 Pb 2.48
Co  0.5000  0.0000  0.5000  2 Pb 2.48
Ni  0.5000  0.5000  0.0000  2 Pb 2.45
Pb  0.5000  0.5000  0.5000  2 Ni 2.45, 4 Co 2.48


6.
This record from Alexandria via LeMat-Bulk describes a geometry-optimized CoNiTePb2 structure. The functional is PBE-GGA.

The symmetry is P4/mmm (123). The calculation puts the uncorrected formation energy at 0.62 eV per atom. The value obtained for the total energy is -20.3 eV/cell.

Unit cell a=5.0742 b=5.0742 c=4.8769 alpha=90.00 beta=90.00 gamma=90.00
Closest atoms and distances in Å follow each position.
Fractional coordinates of all 5 atoms:
Co  0.0000  0.0000  0.0000  2 Te 2.44, 4 Pb 2.54
Ni  0.5000  0.5000  0.5000  8 Pb 3.52, 4 Te 3.59
Te  0.0000  0.0000  0.5000  2 Co 2.44
Pb  0.0000  0.5000  0.0000  2 Co 2.54
Pb  0.5000  0.0000  0.0000  2 Co 2.54


7.
This record from Alexandria via LeMat-Bulk describes a geometry-optimized TmCoNiPb structure. The functional is PBE-GGA.

The symmetry is F-43m (216). The value obtained for the total energy is -86.3 eV/cell. For the formation energy from the elements, the calculation gives -0.128 eV/atom.

Unit cell a=6.5244 b=6.5244 c=6.5244 alpha=90.00 beta=90.00 gamma=90.00
Closest atoms and distances in Å follow each position.
Fractional coordinates of all 16 atoms:
Tm  0.0000  0.0000  0.0000  4 Co 2.83, 4 Ni 2.83
Tm  0.0000  0.5000  0.5000  4 Co 2.83, 4 Ni 2.83
Tm  0.5000  0.0000  0.5000  4 Co 2.83, 4 Ni 2.83
Tm  0.5000  0.5000  0.0000  4 Co 2.83, 4 Ni 2.83
Co  0.2500  0.2500  0.2500  4 Pb 2.83, 4 Tm 2.83
Co  0.2500  0.7500  0.7500  4 Pb 2.83, 4 Tm 2.83
Co  0.7500  0.2500  0.7500  4 Pb 2.83, 4 Tm 2.83
Co  0.7500  0.7500  0.2500  4 Pb 2.83, 4 Tm 2.83
Ni  0.2500  0.2500  0.7500  4 Pb 2.83, 4 Tm 2.83
Ni  0.2500  0.7500  0.2500  4 Pb 2.83, 4 Tm 2.83
Ni  0.7500  0.2500  0.2500  4 Pb 2.83, 4 Tm 2.83
Ni  0.7500  0.7500  0.7500  4 Pb 2.83, 4 Tm 2.83
Pb  0.0000  0.0000  0.5000  4 Co 2.83, 4 Ni 2.83
Pb  0.0000  0.5000  0.0000  4 Co 2.83, 4 Ni 2.83
Pb  0.5000  0.0000  0.0000  4 Co 2.83, 4 Ni 2.83
Pb  0.5000  0.5000  0.5000  4 Co 2.83, 4 Ni 2.83


8.
This record from Alexandria via LeMat-Bulk describes a geometry-optimized ZnCoNiPb2 structure. The functional is PBE-GGA.

The symmetry is P4/mmm (123). The value obtained for the total energy is -18.6 eV/cell. For the formation energy from the elements, the calculation gives 0.589 eV/atom.

Unit cell a=5.0296 b=5.0296 c=4.5166 alpha=90.00 beta=90.00 gamma=90.00
Closest atoms and distances in Å follow each position.
Fractional coordinates of all 5 atoms:
Zn  0.0000  0.0000  0.0000  8 Pb 3.38, 4 Ni 3.56
Co  0.5000  0.5000  0.5000  2 Ni 2.26, 4 Pb 2.51
Ni  0.5000  0.5000  0.0000  2 Co 2.26
Pb  0.0000  0.5000  0.5000  2 Co 2.51
Pb  0.5000  0.0000  0.5000  2 Co 2.51


9.
This record from Alexandria via LeMat-Bulk describes a geometry-optimized ZnCoNi2Pb structure. The functional is PBE-GGA.

The symmetry is P4/mmm (123). The value obtained for the total energy is -17.8 eV/cell. For the formation energy from the elements, the calculation gives 1.172 eV/atom.

Unit cell a=4.3721 b=4.3721 c=5.0826 alpha=90.00 beta=90.00 gamma=90.00
Closest atoms and distances in Å follow each position.
Fractional coordinates of all 5 atoms:
Zn  0.0000  0.0000  0.0000  4 Ni 2.19
Co  0.5000  0.5000  0.5000  4 Pb 3.09, 8 Ni 3.35
Ni  0.0000  0.5000  0.0000  2 Zn 2.19
Ni  0.5000  0.0000  0.0000  2 Zn 2.19
Pb  0.0000  0.0000  0.5000  2 Zn 2.54


10.
This record from Alexandria via LeMat-Bulk describes a geometry-optimized Co4Ni12Pd structure. The functional is PBE-GGA.

The symmetry is Im-3m (229). The value obtained for the total energy is -97.4 eV/cell. For the formation energy from the elements, the calculation gives 0.330 eV/atom.

Unit cell a=6.4314 b=6.4314 c=6.4314 alpha=109.47 beta=109.47 gamma=109.47
Closest atoms and distances in Å follow each position.
Fractional coordinates of all 17 atoms:
Co  0.0000  0.0000  0.5000  12 Ni 2.63-2.67
Co  0.0000  0.5000  0.0000  12 Ni 2.63-2.67
Co  0.5000  0.0000  0.0000  12 Ni 2.63-2.67
Co  0.5000  0.5000  0.5000  12 Ni 2.63-2.67
Ni  0.0000  0.3117  0.3117  1 Pd 2.31, 4 Ni 2.32
Ni  0.0000  0.6883  0.6883  1 Pd 2.31, 4 Ni 2.32
Ni  0.2500  0.5000  0.7500  4 Ni 2.32
Ni  0.2500  0.7500  0.5000  4 Ni 2.32
Ni  0.3117  0.0000  0.3117  1 Pd 2.31, 4 Ni 2.32
Ni  0.3117  0.3117  0.0000  1 Pd 2.31, 4 Ni 2.32
Ni  0.5000  0.2500  0.7500  4 Ni 2.32
Ni  0.5000  0.7500  0.2500  4 Ni 2.32
Ni  0.6883  0.0000  0.6883  1 Pd 2.31, 4 Ni 2.32
Ni  0.6883  0.6883  0.0000  1 Pd 2.31, 4 Ni 2.32
Ni  0.7500  0.2500  0.5000  4 Ni 2.32
Ni  0.7500  0.5000  0.2500  4 Ni 2.32
Pd  0.0000  0.0000  0.0000  6 Ni 2.31